{"formula": "SnSeS4", "functional": "PBE", "state": "relaxed", "formation_energy_uncorrected_mev_per_atom": -16.5, "magnetic_moment_mub_per_fu": 0.00, "density_g_cm3": 3.1, "lattice": [[-4.371, -0.868, 3.336], [-4.741, 0.468, 12.858], [2.896, 9.284, -1.221]], "species": ["S", "S", "S", "S", "S", "S", "S", "S", "Sn", "Sn", "Se", "Se"], "fractional_positions": [[0.244, 0.553, 0.377], [0.064, 0.270, 0.000], [0.793, 0.258, 0.076], [0.686, 0.009, 0.581], [0.756, 0.447, 0.623], [0.207, 0.742, 0.924], [0.314, 0.991, 0.419], [0.936, 0.730, 0.000], [0.829, 0.417, 0.268], [0.171, 0.583, 0.732], [0.540, 0.912, 0.242], [0.460, 0.088, 0.758]]}